[1]
Here is crystalline TbBIr2 at its relaxed geometry from Alexandria. Energies are from PBE.

Output
M_tot, μB/atom: 0.000
Mass density, g/cm3: 15.3
Energy of formation, eV per atom: -0.483

CIF file:
```
data_TbBIr2
_chemical_formula_sum 'Tb4 B4 Ir8'
_space_group_name_H-M_alt 'P n m a'
_space_group_IT_number 62
_cell_length_a 6.6768
_cell_length_b 6.8824
_cell_length_c 5.2317
_cell_angle_alpha 90.00
_cell_angle_beta 90.00
_cell_angle_gamma 90.00
loop_
_space_group_symop_operation_xyz
'x,y,z'
'-x,-y,-z'
'-x+1/2,-y,z+1/2'
'x+1/2,y,-z+1/2'
'x+1/2,-y+1/2,-z+1/2'
'-x+1/2,y+1/2,z+1/2'
'-x,y+1/2,-z'
'x,-y+1/2,z'
loop_
_atom_site_label
_atom_site_fract_x
_atom_site_fract_y
_atom_site_fract_z
_atom_site_occupancy
Tb1 0.0223 0.2500 0.1111 1
B1 0.1121 0.7500 0.3860 1
Ir1 0.1699 0.0497 0.6165 1
```

[2]
Here is crystalline TbB4Ir6 at its relaxed geometry from Alexandria. Energies are from PBE.

Output
M_tot, μB/atom: 0.000
Mass density, g/cm3: 15.6
Energy of formation, eV per atom: -0.215

CIF file:
```
data_TbB4Ir6
_chemical_formula_sum 'Tb2 B8 Ir12'
_space_group_name_H-M_alt 'I -4 2 m'
_space_group_IT_number 121
_space_group_name_Hall 'I -4 2'
_cell_length_a 5.5099
_cell_length_b 5.5099
_cell_length_c 9.4848
_cell_angle_alpha 90.00
_cell_angle_beta 90.00
_cell_angle_gamma 90.00
loop_
_atom_site_label
_atom_site_fract_x
_atom_site_fract_y
_atom_site_fract_z
_atom_site_occupancy
Tb1 0.0000 0.0000 0.0000 1
B1 0.1863 0.1863 0.6075 1
Ir1 0.0000 0.5000 0.0000 1
Ir2 0.1745 0.1745 0.2979 1
```

[3]
Here is crystalline Tb4B6Ir7 at its relaxed geometry from Alexandria. Energies are from PBE.

Output
M_tot, μB/atom: 0.000
Mass density, g/cm3: 13.2
Energy of formation, eV per atom: -0.415

CIF file:
```
data_Tb4B6Ir7
_chemical_formula_sum 'Tb8 B12 Ir14'
_space_group_name_H-M_alt 'I m -3 m'
_space_group_IT_number 229
_space_group_name_Hall '-I 4 2 3'
_cell_length_a 8.0196
_cell_length_b 8.0196
_cell_length_c 8.0196
_cell_angle_alpha 90.00
_cell_angle_beta 90.00
_cell_angle_gamma 90.00
loop_
_atom_site_label
_atom_site_fract_x
_atom_site_fract_y
_atom_site_fract_z
_atom_site_occupancy
Tb1 0.2500 0.2500 0.2500 1
B1 0.0000 0.0000 0.3703 1
Ir1 0.0000 0.0000 0.0000 1
Ir2 0.0000 0.2500 0.5000 1
```

[4]
Here is crystalline TbBIr2 at its relaxed geometry from Alexandria. Energies are from PBE.

Output
M_tot, μB/atom: 0.000
Mass density, g/cm3: 13.8
Energy of formation, eV per atom: -0.222

CIF file:
```
data_TbBIr2
_chemical_formula_sum 'Tb3 B3 Ir6'
_space_group_name_H-M_alt 'R -3 m'
_space_group_IT_number 166
_space_group_name_Hall '-R 3 2"'
_cell_length_a 3.5709
_cell_length_b 3.5709
_cell_length_c 18.0798
_cell_angle_alpha 90.00
_cell_angle_beta 90.00
_cell_angle_gamma 120.00
loop_
_atom_site_label
_atom_site_fract_x
_atom_site_fract_y
_atom_site_fract_z
_atom_site_occupancy
Tb1 0.0000 0.0000 0.0000 1
B1 0.0000 0.0000 0.5000 1
Ir1 0.0000 0.0000 0.2154 1
```

[5]
Here is crystalline TbB3Ir3 at its relaxed geometry from Alexandria. Energies are from PBE.

Output
M_tot, μB/atom: 0.000
Energy above the most stable polymorph in this dataset, meV/atom: 62.3
Mass density, g/cm3: 12.2
Energy of formation, eV per atom: -0.326

CIF file:
```
data_TbB3Ir3
_chemical_formula_sum 'Tb4 B12 Ir12'
_space_group_name_H-M_alt 'P 21 3'
_space_group_IT_number 198
_space_group_name_Hall 'P 2ac 2ab 3'
_cell_length_a 7.4794
_cell_length_b 7.4794
_cell_length_c 7.4794
_cell_angle_alpha 90.00
_cell_angle_beta 90.00
_cell_angle_gamma 90.00
loop_
_atom_site_label
_atom_site_fract_x
_atom_site_fract_y
_atom_site_fract_z
_atom_site_occupancy
Tb1 0.0010 0.4990 0.5010 1
B1 0.0082 0.8079 0.6837 1
Ir1 0.0505 0.9495 0.4495 1
Ir2 0.2304 0.2304 0.2304 1
Ir3 0.2445 0.2555 0.7445 1
```

[6]
Here is crystalline TbB2Ir3 at its relaxed geometry from Alexandria. Energies are from PBE.

Output
M_tot, μB/atom: 0.000
Energy above the most stable polymorph in this dataset, meV/atom: 0.0
Mass density, g/cm3: 15.4
Energy of formation, eV per atom: -0.682

CIF file:
```
data_TbB2Ir3
_chemical_formula_sum 'Tb1 B2 Ir3'
_space_group_name_H-M_alt 'P 6/m m m'
_space_group_IT_number 191
_space_group_name_Hall '-P 6 2'
_cell_length_a 5.4819
_cell_length_b 5.4819
_cell_length_c 3.1469
_cell_angle_alpha 90.00
_cell_angle_beta 90.00
_cell_angle_gamma 120.00
loop_
_atom_site_label
_atom_site_fract_x
_atom_site_fract_y
_atom_site_fract_z
_atom_site_occupancy
Tb1 0.0000 0.0000 0.0000 1
B1 0.3333 0.6667 0.0000 1
Ir1 0.0000 0.5000 0.5000 1
```